Model i:
# PaTlPO PBE relaxed
data_PaTlPO
_chemical_formula_sum 'Pa2 Tl2 P2 O2'
_space_group_name_H-M_alt 'P 4/n m m'
_space_group_IT_number 129
_cell_length_a 4.035
_cell_length_b 4.035
_cell_length_c 10.165
_cell_angle_alpha 90.00
_cell_angle_beta 90.00
_cell_angle_gamma 90.00
loop_
_space_group_symop_operation_xyz
'x,y,z'
'-x,-y,-z'
'-y+1/2,x,z'
'y+1/2,-x,-z'
'-x+1/2,-y+1/2,z'
'x+1/2,y+1/2,-z'
'y,-x+1/2,z'
'-y,x+1/2,-z'
'x+1/2,-y,-z'
'-x+1/2,y,z'
'-y,-x,-z'
'y,x,z'
'-x,y+1/2,-z'
'x,-y+1/2,z'
'y+1/2,x+1/2,-z'
'-y+1/2,-x+1/2,z'
loop_
_atom_site_label
_atom_site_type_symbol
_atom_site_fract_x
_atom_site_fract_y
_atom_site_fract_z
Pa1 Pa 0.250 0.250 0.129
Tl1 Tl 0.250 0.750 0.500
P1 P 0.250 0.250 0.750
O1 O 0.250 0.750 0.000
# - V: 165.5 Å³ per cell
# - Total moment: 1.8 μB per cell

---

Model ii:
# PaTlPO PBE relaxed
data_PaTlPO
_chemical_formula_sum 'Pa2 Tl2 P2 O2'
_space_group_name_H-M_alt 'P 4/n m m'
_space_group_IT_number 129
_cell_length_a 5.789
_cell_length_b 5.789
_cell_length_c 5.056
_cell_angle_alpha 90.00
_cell_angle_beta 90.00
_cell_angle_gamma 90.00
loop_
_space_group_symop_operation_xyz
'x,y,z'
'-x,-y,-z'
'-y+1/2,x,z'
'y+1/2,-x,-z'
'-x+1/2,-y+1/2,z'
'x+1/2,y+1/2,-z'
'y,-x+1/2,z'
'-y,x+1/2,-z'
'x+1/2,-y,-z'
'-x+1/2,y,z'
'-y,-x,-z'
'y,x,z'
'-x,y+1/2,-z'
'x,-y+1/2,z'
'y+1/2,x+1/2,-z'
'-y+1/2,-x+1/2,z'
loop_
_atom_site_label
_atom_site_type_symbol
_atom_site_fract_x
_atom_site_fract_y
_atom_site_fract_z
Pa1 Pa 0.250 0.750 0.000
Tl1 Tl 0.250 0.250 0.473
P1 P 0.250 0.250 0.969
O1 O 0.250 0.750 0.500
# - V: 169.4 Å³ per cell
# - Total moment: 2.4 μB per cell

---

Model iii:
# PaTlPO PBE relaxed
data_PaTlPO
_chemical_formula_sum 'Pa2 Tl2 P2 O2'
_space_group_name_H-M_alt 'P m c 21'
_space_group_IT_number 26
_cell_length_a 4.215
_cell_length_b 7.622
_cell_length_c 5.862
_cell_angle_alpha 90.00
_cell_angle_beta 90.00
_cell_angle_gamma 90.00
loop_
_space_group_symop_operation_xyz
'x,y,z'
'-x,-y,z+1/2'
'-x,y,z'
'x,-y,z+1/2'
loop_
_atom_site_label
_atom_site_type_symbol
_atom_site_fract_x
_atom_site_fract_y
_atom_site_fract_z
Pa1 Pa 0.000 0.188 0.000
Tl1 Tl 0.500 0.410 0.500
P1 P 0.000 0.188 0.500
O1 O 0.500 0.137 0.996
# - V: 188.3 Å³ per cell
# - Total moment: 1.9 μB per cell

---

Model iv:
# PaTlPO PBE relaxed
data_PaTlPO
_chemical_formula_sum 'Pa2 Tl2 P2 O2'
_space_group_name_H-M_alt 'P m c 21'
_space_group_IT_number 26
_cell_length_a 4.437
_cell_length_b 7.189
_cell_length_c 7.381
_cell_angle_alpha 90.00
_cell_angle_beta 90.00
_cell_angle_gamma 90.00
loop_
_space_group_symop_operation_xyz
'x,y,z'
'-x,-y,z+1/2'
'-x,y,z'
'x,-y,z+1/2'
loop_
_atom_site_label
_atom_site_type_symbol
_atom_site_fract_x
_atom_site_fract_y
_atom_site_fract_z
Pa1 Pa 0.000 0.149 0.000
Tl1 Tl 0.500 0.275 0.538
P1 P 0.500 0.360 0.925
O1 O 0.000 0.041 0.276
# - V: 235.4 Å³ per cell
# - Total moment: 2.0 μB per cell

---

Which one is most stable, and which one is least stable? model i is the most stable of them, while model ii is the least stable.

---

Model i:
# YPaPO PBE relaxed
data_YPaPO
_chemical_formula_sum 'Y2 Pa2 P2 O2'
_space_group_name_H-M_alt 'P 4/n m m'
_space_group_IT_number 129
_cell_length_a 4.197
_cell_length_b 4.197
_cell_length_c 9.071
_cell_angle_alpha 90.00
_cell_angle_beta 90.00
_cell_angle_gamma 90.00
loop_
_space_group_symop_operation_xyz
'x,y,z'
'-x,-y,-z'
'-y+1/2,x,z'
'y+1/2,-x,-z'
'-x+1/2,-y+1/2,z'
'x+1/2,y+1/2,-z'
'y,-x+1/2,z'
'-y,x+1/2,-z'
'x+1/2,-y,-z'
'-x+1/2,y,z'
'-y,-x,-z'
'y,x,z'
'-x,y+1/2,-z'
'x,-y+1/2,z'
'y+1/2,x+1/2,-z'
'-y+1/2,-x+1/2,z'
loop_
_atom_site_label
_atom_site_type_symbol
_atom_site_fract_x
_atom_site_fract_y
_atom_site_fract_z
Y1 Y 0.250 0.250 0.105
Pa1 Pa 0.250 0.750 0.500
P1 P 0.250 0.250 0.715
O1 O 0.250 0.750 0.000
# - V: 159.8 Å³ per cell
# - Total moment: 0.0 μB per cell

---

Model ii:
# YPaPO PBE relaxed
data_YPaPO
_chemical_formula_sum 'Y2 Pa2 P2 O2'
_space_group_name_H-M_alt 'P 4/n m m'
_space_group_IT_number 129
_cell_length_a 4.172
_cell_length_b 4.172
_cell_length_c 8.956
_cell_angle_alpha 90.00
_cell_angle_beta 90.00
_cell_angle_gamma 90.00
loop_
_space_group_symop_operation_xyz
'x,y,z'
'-x,-y,-z'
'-y+1/2,x,z'
'y+1/2,-x,-z'
'-x+1/2,-y+1/2,z'
'x+1/2,y+1/2,-z'
'y,-x+1/2,z'
'-y,x+1/2,-z'
'x+1/2,-y,-z'
'-x+1/2,y,z'
'-y,-x,-z'
'y,x,z'
'-x,y+1/2,-z'
'x,-y+1/2,z'
'y+1/2,x+1/2,-z'
'-y+1/2,-x+1/2,z'
loop_
_atom_site_label
_atom_site_type_symbol
_atom_site_fract_x
_atom_site_fract_y
_atom_site_fract_z
Y1 Y 0.250 0.750 0.000
Pa1 Pa 0.250 0.250 0.362
P1 P 0.250 0.250 0.783
O1 O 0.250 0.750 0.500
# - V: 155.9 Å³ per cell
# - Total moment: 2.0 μB per cell

---

Which one is most stable, and which one is least stable? model ii is the most stable of them, while model i is the least stable.

---

Model i:
# PmPPbO PBE relaxed
data_PmPPbO
_chemical_formula_sum 'Pm2 P2 Pb2 O2'
_space_group_name_H-M_alt 'P 4/n m m'
_space_group_IT_number 129
_cell_length_a 4.324
_cell_length_b 4.324
_cell_length_c 9.418
_cell_angle_alpha 90.00
_cell_angle_beta 90.00
_cell_angle_gamma 90.00
loop_
_space_group_symop_operation_xyz
'x,y,z'
'-x,-y,-z'
'-y+1/2,x,z'
'y+1/2,-x,-z'
'-x+1/2,-y+1/2,z'
'x+1/2,y+1/2,-z'
'y,-x+1/2,z'
'-y,x+1/2,-z'
'x+1/2,-y,-z'
'-x+1/2,y,z'
'-y,-x,-z'
'y,x,z'
'-x,y+1/2,-z'
'x,-y+1/2,z'
'y+1/2,x+1/2,-z'
'-y+1/2,-x+1/2,z'
loop_
_atom_site_label
_atom_site_type_symbol
_atom_site_fract_x
_atom_site_fract_y
_atom_site_fract_z
Pm1 Pm 0.250 0.250 0.104
P1 P 0.250 0.250 0.722
Pb1 Pb 0.250 0.750 0.500
O1 O 0.250 0.750 0.000
# - V: 176.1 Å³ per cell
# - Total moment: 0.0 μB per cell

---

Model ii:
# PmPPbO PBE relaxed
data_PmPPbO
_chemical_formula_sum 'Pm2 P2 Pb2 O2'
_space_group_name_H-M_alt 'P m c 21'
_space_group_IT_number 26
_cell_length_a 4.843
_cell_length_b 6.708
_cell_length_c 6.484
_cell_angle_alpha 90.00
_cell_angle_beta 90.00
_cell_angle_gamma 90.00
loop_
_space_group_symop_operation_xyz
'x,y,z'
'-x,-y,z+1/2'
'-x,y,z'
'x,-y,z+1/2'
loop_
_atom_site_label
_atom_site_type_symbol
_atom_site_fract_x
_atom_site_fract_y
_atom_site_fract_z
Pm1 Pm 0.000 0.153 0.000
P1 P 0.500 0.299 0.838
Pb1 Pb 0.500 0.289 0.411
O1 O 0.000 0.138 0.344
# - V: 210.6 Å³ per cell
# - Total moment: 0.0 μB per cell

---

Which one is most stable, and which one is least stable? model i is the most stable of them, while model ii is the least stable.

---

Model i:
# PmPPbO PBE relaxed
data_PmPPbO
_chemical_formula_sum 'Pm2 P2 Pb2 O2'
_space_group_name_H-M_alt 'P 4/n m m'
_space_group_IT_number 129
_cell_length_a 5.668
_cell_length_b 5.668
_cell_length_c 5.387
_cell_angle_alpha 90.00
_cell_angle_beta 90.00
_cell_angle_gamma 90.00
loop_
_space_group_symop_operation_xyz
'x,y,z'
'-x,-y,-z'
'-y+1/2,x,z'
'y+1/2,-x,-z'
'-x+1/2,-y+1/2,z'
'x+1/2,y+1/2,-z'
'y,-x+1/2,z'
'-y,x+1/2,-z'
'x+1/2,-y,-z'
'-x+1/2,y,z'
'-y,-x,-z'
'y,x,z'
'-x,y+1/2,-z'
'x,-y+1/2,z'
'y+1/2,x+1/2,-z'
'-y+1/2,-x+1/2,z'
loop_
_atom_site_label
_atom_site_type_symbol
_atom_site_fract_x
_atom_site_fract_y
_atom_site_fract_z
Pm1 Pm 0.250 0.750 0.000
P1 P 0.250 0.250 0.006
Pb1 Pb 0.250 0.250 0.505
O1 O 0.250 0.750 0.500
# - V: 173.1 Å³ per cell
# - Total moment: 0.0 μB per cell

---

Model ii:
# PmPPbO PBE relaxed
data_PmPPbO
_chemical_formula_sum 'Pm2 P2 Pb2 O2'
_space_group_name_H-M_alt 'P m c 21'
_space_group_IT_number 26
_cell_length_a 4.005
_cell_length_b 9.033
_cell_length_c 5.896
_cell_angle_alpha 90.00
_cell_angle_beta 90.00
_cell_angle_gamma 90.00
loop_
_space_group_symop_operation_xyz
'x,y,z'
'-x,-y,z+1/2'
'-x,y,z'
'x,-y,z+1/2'
loop_
_atom_site_label
_atom_site_type_symbol
_atom_site_fract_x
_atom_site_fract_y
_atom_site_fract_z
Pm1 Pm 0.000 0.164 0.000
P1 P 0.000 0.153 0.495
Pb1 Pb 0.500 0.350 0.570
O1 O 0.500 0.272 0.959
# - V: 213.3 Å³ per cell
# - Total moment: 0.0 μB per cell

---

Which one is most stable, and which one is least stable? model ii is the most stable of them, while model i is the least stable.

---

Model i:
# PrPPbO PBE relaxed
data_PrPPbO
_chemical_formula_sum 'Pr2 P2 Pb2 O2'
_space_group_name_H-M_alt 'P m c 21'
_space_group_IT_number 26
_cell_length_a 4.107
_cell_length_b 8.588
_cell_length_c 6.087
_cell_angle_alpha 90.00
_cell_angle_beta 90.00
_cell_angle_gamma 90.00
loop_
_space_group_symop_operation_xyz
'x,y,z'
'-x,-y,z+1/2'
'-x,y,z'
'x,-y,z+1/2'
loop_
_atom_site_label
_atom_site_type_symbol
_atom_site_fract_x
_atom_site_fract_y
_atom_site_fract_z
Pr1 Pr 0.000 0.170 0.000
P1 P 0.000 0.163 0.492
Pb1 Pb 0.500 0.362 0.575
O1 O 0.500 0.278 0.950
# - V: 214.7 Å³ per cell
# - Total moment: 0.0 μB per cell

---

Model ii:
# PrPPbO PBE relaxed
data_PrPPbO
_chemical_formula_sum 'Pr2 P2 Pb2 O2'
_space_group_name_H-M_alt 'P 4/n m m'
_space_group_IT_number 129
_cell_length_a 5.754
_cell_length_b 5.754
_cell_length_c 5.371
_cell_angle_alpha 90.00
_cell_angle_beta 90.00
_cell_angle_gamma 90.00
loop_
_space_group_symop_operation_xyz
'x,y,z'
'-x,-y,-z'
'-y+1/2,x,z'
'y+1/2,-x,-z'
'-x+1/2,-y+1/2,z'
'x+1/2,y+1/2,-z'
'y,-x+1/2,z'
'-y,x+1/2,-z'
'x+1/2,-y,-z'
'-x+1/2,y,z'
'-y,-x,-z'
'y,x,z'
'-x,y+1/2,-z'
'x,-y+1/2,z'
'y+1/2,x+1/2,-z'
'-y+1/2,-x+1/2,z'
loop_
_atom_site_label
_atom_site_type_symbol
_atom_site_fract_x
_atom_site_fract_y
_atom_site_fract_z
Pr1 Pr 0.250 0.750 0.000
P1 P 0.250 0.250 0.001
Pb1 Pb 0.250 0.250 0.502
O1 O 0.250 0.750 0.500
# - V: 177.8 Å³ per cell
# - Total moment: 0.0 μB per cell

---

Which one is most stable, and which one is least stable? model i is the most stable of them, while model ii is the least stable.